# 1
A geometry-optimized Pm3Al3Ge2 structure. Source: Alexandria via LeMat-Bulk, functional GGA-PBE.

Output
Energy of formation in eV/f.u.: -4.89
Distance to the lowest polymorph of the same formula in meV/atom: 0

a = 6.0564 Å, b = 6.0564 Å, c = 15.9553 Å
α = 90.00°, β = 90.00°, γ = 139.87°
With the nearest neighbours (Å) after each atom.
Positions (direct):
Pm  0.0727  0.9273  0.7500  5 Al 3.06-3.35, 4 Ge 3.07
Pm  0.3586  0.6414  0.5925  4 Ge 3.14-3.41, 7 Al 3.25-3.32
Pm  0.3586  0.6414  0.9075  4 Ge 3.14-3.41, 7 Al 3.25-3.32
Pm  0.6414  0.3586  0.0925  4 Ge 3.14-3.41, 7 Al 3.25-3.32
Pm  0.6414  0.3586  0.4075  4 Ge 3.14-3.41, 7 Al 3.25-3.32
Pm  0.9273  0.0727  0.2500  5 Al 3.06-3.35, 4 Ge 3.07
Al  0.0721  0.9279  0.5575  1 Al 2.46, 2 Ge 2.50
Al  0.0721  0.9279  0.9425  1 Al 2.46, 2 Ge 2.50
Al  0.1964  0.8036  0.2500  2 Ge 2.66
Al  0.8036  0.1964  0.7500  2 Ge 2.66
Al  0.9279  0.0721  0.0575  1 Al 2.46, 2 Ge 2.50
Al  0.9279  0.0721  0.4425  1 Al 2.46, 2 Ge 2.50
Ge  0.3449  0.6551  0.1210  3 Al 2.50-2.66
Ge  0.3449  0.6551  0.3790  3 Al 2.50-2.66
Ge  0.6551  0.3449  0.6210  3 Al 2.50-2.66
Ge  0.6551  0.3449  0.8790  3 Al 2.50-2.66

# 2
A geometry-optimized OsPt2Rh5 structure. Source: Alexandria via LeMat-Bulk, functional GGA-PBE.

Output
Energy of formation in eV/f.u.: -0.14

a = 8.2566 Å, b = 8.2566 Å, c = 8.2566 Å
α = 152.94°, β = 152.94°, γ = 38.65°
With the nearest neighbours (Å) after each atom.
Positions (direct):
Os  0.0000  0.0000  0.0000  12 Rh 2.68-2.73
Pt  0.2523  0.2523  0.0000  4 Pt 2.73, 8 Rh 2.78-2.83
Pt  0.7477  0.7477  0.0000  4 Pt 2.73, 8 Rh 2.78-2.83
Rh  0.1194  0.6194  0.5000  2 Os 2.68, 6 Rh 2.68-2.73, 4 Pt 2.78-2.83
Rh  0.3806  0.8806  0.5000  2 Os 2.68, 6 Rh 2.68-2.73, 4 Pt 2.78-2.83
Rh  0.5000  0.5000  0.0000  8 Rh 2.68, 4 Os 2.73
Rh  0.6194  0.1194  0.5000  2 Os 2.68, 6 Rh 2.68-2.73, 4 Pt 2.78-2.83
Rh  0.8806  0.3806  0.5000  2 Os 2.68, 6 Rh 2.68-2.73, 4 Pt 2.78-2.83

# 3
A geometry-optimized TmTh2Zn6 structure. Source: Alexandria via LeMat-Bulk, functional GGA-PBE.

Output
Energy of formation in eV/f.u.: -2.65

a = 7.8734 Å, b = 7.8734 Å, c = 3.5216 Å
α = 90.00°, β = 90.00°, γ = 120.00°
With the nearest neighbours (Å) after each atom.
Positions (direct):
Tm  0.0000  0.0000  0.0000  12 Zn 3.12
Th  0.3333  0.6667  0.0000  12 Zn 3.18, 2 Th 3.52
Th  0.6667  0.3333  0.0000  12 Zn 3.18, 2 Th 3.52
Zn  0.0000  0.3275  0.5000  3 Zn 2.58-2.72
Zn  0.0000  0.6725  0.5000  3 Zn 2.58-2.72
Zn  0.3275  0.0000  0.5000  3 Zn 2.58-2.72
Zn  0.3275  0.3275  0.5000  3 Zn 2.58-2.72
Zn  0.6725  0.0000  0.5000  3 Zn 2.58-2.72
Zn  0.6725  0.6725  0.5000  3 Zn 2.58-2.72

# 4
A geometry-optimized LiZnGa3 structure. Source: Alexandria via LeMat-Bulk, functional GGA-PBE.

Output
Energy of formation in eV/f.u.: 1.16
Distance to the lowest polymorph of the same formula in meV/atom: 312

a = 4.8906 Å, b = 4.8906 Å, c = 4.8906 Å
α = 90.00°, β = 90.00°, γ = 90.00°
With the nearest neighbours (Å) after each atom.
Positions (direct):
Li  0.0000  0.0000  0.0000  12 Ga 3.46
Zn  0.5000  0.5000  0.5000  6 Ga 2.45
Ga  0.0000  0.5000  0.5000  2 Zn 2.45
Ga  0.5000  0.0000  0.5000  2 Zn 2.45
Ga  0.5000  0.5000  0.0000  2 Zn 2.45

# 5
A geometry-optimized BeCr2CoPt structure. Source: Alexandria via LeMat-Bulk, functional GGA-PBE.

Output
Energy of formation in eV/f.u.: 4.01

a = 4.1629 Å, b = 4.1629 Å, c = 3.8937 Å
α = 90.00°, β = 90.00°, γ = 90.00°
With the nearest neighbours (Å) after each atom.
Positions (direct):
Be  0.0000  0.0000  0.0000  2 Co 1.95
Cr  0.0000  0.5000  0.5000  2 Co 2.08
Cr  0.5000  0.0000  0.5000  2 Co 2.08
Co  0.0000  0.0000  0.5000  2 Be 1.95, 4 Cr 2.08
Pt  0.5000  0.5000  0.0000  8 Cr 2.85, 4 Be 2.94

# 6
A geometry-optimized ZrSc2Ru structure. Source: Alexandria via LeMat-Bulk, functional GGA-PBE.

Output
Energy of formation in eV/f.u.: -0.23
Distance to the lowest polymorph of the same formula in meV/atom: 296

a = 4.7518 Å, b = 4.7518 Å, c = 3.4470 Å
α = 90.00°, β = 90.00°, γ = 90.09°
With the nearest neighbours (Å) after each atom.
Positions (direct):
Zr  0.0000  0.0000  0.0000  8 Sc 2.94
Sc  0.0000  0.5000  0.5000  4 Zr 2.94, 4 Ru 2.94
Sc  0.5000  0.0000  0.5000  4 Zr 2.94, 4 Ru 2.94
Ru  0.5000  0.5000  0.0000  8 Sc 2.94

# 7
A geometry-optimized LiBi2Pd structure. Source: Alexandria via LeMat-Bulk, functional GGA-PBE.

Output
Energy of formation in eV/f.u.: -1.41
Distance to the lowest polymorph of the same formula in meV/atom: 0

a = 4.4500 Å, b = 4.4500 Å, c = 5.5246 Å
α = 90.00°, β = 90.00°, γ = 120.00°
With the nearest neighbours (Å) after each atom.
Positions (direct):
Li  0.0000  0.0000  0.0000  2 Pd 2.76, 6 Bi 3.00
Bi  0.3333  0.6667  0.7207  3 Pd 2.84, 3 Li 3.00
Bi  0.6667  0.3333  0.2793  3 Pd 2.84, 3 Li 3.00
Pd  0.0000  0.0000  0.5000  2 Li 2.76, 6 Bi 2.84

# 8
A geometry-optimized Ta3C structure. Source: Alexandria via LeMat-Bulk, functional GGA-PBE.

Output
Energy of formation in eV/f.u.: 1.08
Distance to the lowest polymorph of the same formula in meV/atom: 633

a = 2.8207 Å, b = 2.8207 Å, c = 7.4830 Å
α = 90.00°, β = 90.00°, γ = 90.00°
With the nearest neighbours (Å) after each atom.
Positions (direct):
Ta  0.0000  0.0000  0.0000  12 Ta 2.82-3.12
Ta  0.5000  0.5000  0.3201  4 C 2.41, 1 Ta 2.69
Ta  0.5000  0.5000  0.6799  4 C 2.41, 1 Ta 2.69
C  0.0000  0.0000  0.5000  8 Ta 2.41

# 9
A geometry-optimized MnBe2As structure. Source: Alexandria via LeMat-Bulk, functional GGA-PBE.

Output
Energy of formation in eV/f.u.: 1.57

a = 7.5746 Å, b = 7.5746 Å, c = 7.5746 Å
α = 20.74°, β = 20.74°, γ = 20.74°
With the nearest neighbours (Å) after each atom.
Positions (direct):
Mn  0.0000  0.0000  0.0000  3 Be 2.39, 3 As 2.50
Be  0.4892  0.4892  0.4892  3 Be 2.29, 3 As 2.55
Be  0.7474  0.7474  0.7474  3 Be 2.29, 3 Mn 2.39
As  0.2460  0.2460  0.2460  3 Mn 2.50, 3 Be 2.55, 6 As 2.73

# 10
A geometry-optimized Cd2MoP structure. Source: Alexandria via LeMat-Bulk, functional GGA-PBE.

Output
Energy of formation in eV/f.u.: 2.55

a = 4.6630 Å, b = 4.6630 Å, c = 4.6630 Å
α = 60.00°, β = 60.00°, γ = 60.00°
With the nearest neighbours (Å) after each atom.
Positions (direct):
Cd  0.0000  0.0000  0.0000  4 Cd 2.86, 4 P 2.86
Cd  0.2500  0.2500  0.2500  4 Mo 2.86, 4 Cd 2.86
Mo  0.5000  0.5000  0.5000  4 Cd 2.86, 4 P 2.86
P  0.7500  0.7500  0.7500  4 Cd 2.86, 4 Mo 2.86

# 11
A geometry-optimized HfIn2H structure. Source: Alexandria via LeMat-Bulk, functional GGA-PBE.

Output
Distance to the lowest polymorph of the same formula in meV/atom: 561

a = 5.8219 Å, b = 5.8219 Å, c = 5.8219 Å
α = 104.57°, β = 104.57°, γ = 119.80°
With the nearest neighbours (Å) after each atom.
Positions (direct):
Hf  0.0000  0.0000  0.0000  2 H 2.92, 8 In 3.04-3.07
Hf  0.7500  0.2500  0.5000  2 H 2.92, 8 In 3.04-3.07
In  0.2060  0.6250  0.0810  2 H 2.27
In  0.3750  0.4560  0.5810  2 H 2.27
In  0.5440  0.1250  0.9190  2 H 2.27
In  0.8750  0.7940  0.4190  2 H 2.27
H  0.2500  0.7500  0.5000  4 In 2.27
H  0.5000  0.5000  0.0000  4 In 2.27

# 12
A geometry-optimized Nd12DyTm3 structure. Source: Alexandria via LeMat-Bulk, functional GGA-PBE.

Output
Energy of formation in eV/f.u.: 0.22

a = 5.1433 Å, b = 5.1433 Å, c = 20.5161 Å
α = 90.00°, β = 90.00°, γ = 90.00°
With the nearest neighbours (Å) after each atom.
Positions (direct):
Nd  0.0000  0.0000  0.0000  8 Nd 3.63, 4 Tm 3.64
Nd  0.0000  0.0000  0.2496  8 Nd 3.63, 4 Tm 3.64
Nd  0.0000  0.0000  0.5000  4 Dy 3.64, 8 Nd 3.64
Nd  0.0000  0.0000  0.7504  8 Nd 3.63, 4 Tm 3.64
Nd  0.0000  0.5000  0.1249  8 Nd 3.63-3.64, 4 Tm 3.63
Nd  0.0000  0.5000  0.3744  2 Tm 3.63, 8 Nd 3.63-3.64, 2 Dy 3.64
Nd  0.0000  0.5000  0.6256  2 Tm 3.63, 8 Nd 3.63-3.64, 2 Dy 3.64
Nd  0.0000  0.5000  0.8751  8 Nd 3.63-3.64, 4 Tm 3.63
Nd  0.5000  0.0000  0.1249  8 Nd 3.63-3.64, 4 Tm 3.63
Nd  0.5000  0.0000  0.3744  2 Tm 3.63, 8 Nd 3.63-3.64, 2 Dy 3.64
Nd  0.5000  0.0000  0.6256  2 Tm 3.63, 8 Nd 3.63-3.64, 2 Dy 3.64
Nd  0.5000  0.0000  0.8751  8 Nd 3.63-3.64, 4 Tm 3.63
Dy  0.5000  0.5000  0.5000  12 Nd 3.64
Tm  0.5000  0.5000  0.0000  12 Nd 3.63-3.64
Tm  0.5000  0.5000  0.2496  12 Nd 3.63-3.64
Tm  0.5000  0.5000  0.7504  12 Nd 3.63-3.64